Here is a relaxed Ca2Ni3P4Ir crystal from Alexandria via LeMat-Bulk. Energies are from PBE. Values from VASP.

Structure (Quantum ESPRESSO input):
```
&SYSTEM
  ibrav = 0, nat = 10, ntyp = 4
/
ATOMIC_SPECIES
Ca 40.08 Ca.upf
Ni 58.69 Ni.upf
P 30.97 P.upf
Ir 192.22 Ir.upf
ATOMIC_POSITIONS crystal
Ca 0.000 0.500 0.239
Ca 0.500 0.000 0.761
Ni 0.000 0.500 0.883
Ni 0.500 0.000 0.117
Ni 0.500 0.500 0.500
P 0.000 0.000 0.000
P 0.000 0.500 0.639
P 0.500 0.000 0.361
P 0.500 0.500 0.000
Ir 0.000 0.000 0.500
CELL_PARAMETERS angstrom
4.019 0.000 0.000
0.000 4.019 0.000
0.000 0.000 9.315
```

Theoretical density = 6.3 g cm⁻³
Formation energy = -798 meV/atom
DOS at the Fermi energy = 7.86 states/eV/f.u.

=====

Here is a relaxed CaPuNiIr crystal from Alexandria via LeMat-Bulk. Energies are from PBE. Values from VASP.

Structure (Quantum ESPRESSO input):
```
&SYSTEM
  ibrav = 0, nat = 4, ntyp = 4
/
ATOMIC_SPECIES
Ca 40.08 Ca.upf
Pu 244.00 Pu.upf
Ni 58.69 Ni.upf
Ir 192.22 Ir.upf
ATOMIC_POSITIONS crystal
Ca 0.000 0.000 0.000
Pu 0.500 0.500 0.500
Ni 0.250 0.250 0.250
Ir 0.750 0.750 0.750
CELL_PARAMETERS angstrom
0.000 3.401 3.401
3.401 0.000 3.401
3.401 3.401 0.000
```

Theoretical density = 11.3 g cm⁻³
Formation energy = -186 meV/atom
DOS at the Fermi energy = 9.73 states/eV/f.u.

=====

Here is a relaxed Ca2Ni3Sb4Ir crystal from Alexandria via LeMat-Bulk. Energies are from PBE. Values from VASP.

Structure (Quantum ESPRESSO input):
```
&SYSTEM
  ibrav = 0, nat = 10, ntyp = 4
/
ATOMIC_SPECIES
Ca 40.08 Ca.upf
Ni 58.69 Ni.upf
Sb 121.76 Sb.upf
Ir 192.22 Ir.upf
ATOMIC_POSITIONS crystal
Ca 0.000 0.500 0.240
Ca 0.500 0.000 0.760
Ni 0.000 0.000 0.000
Ni 0.000 0.500 0.624
Ni 0.500 0.000 0.376
Sb 0.000 0.000 0.500
Sb 0.000 0.500 0.866
Sb 0.500 0.000 0.134
Sb 0.500 0.500 0.500
Ir 0.500 0.500 0.000
CELL_PARAMETERS angstrom
4.482 0.000 0.000
0.000 4.482 0.000
0.000 0.000 10.266
```

Formation energy from raw total energies = -0.484 eV/atom
Theoretical density = 7.5 g cm⁻³
DOS at the Fermi energy = 7.13 states/eV/f.u.

=====

Here is a relaxed Ca2NiSb2Ir crystal from Alexandria via LeMat-Bulk. Energies are from PBE. Values from VASP.

Structure (Quantum ESPRESSO input):
```
&SYSTEM
  ibrav = 0, nat = 12, ntyp = 4
/
ATOMIC_SPECIES
Ca 40.08 Ca.upf
Ni 58.69 Ni.upf
Sb 121.76 Sb.upf
Ir 192.22 Ir.upf
ATOMIC_POSITIONS crystal
Ca 0.156 0.237 0.393
Ca 0.344 0.737 0.082
Ca 0.656 0.263 0.918
Ca 0.844 0.763 0.607
Ni 0.250 0.750 0.500
Ni 0.750 0.250 0.500
Sb 0.106 0.733 0.838
Sb 0.394 0.233 0.627
Sb 0.606 0.767 0.373
Sb 0.894 0.267 0.162
Ir 0.250 0.250 0.000
Ir 0.750 0.750 0.000
CELL_PARAMETERS angstrom
-3.136 7.085 3.076
3.136 -7.085 3.076
3.136 7.085 -3.076
```

Formation energy from raw total energies = -0.601 eV/atom
Theoretical density = 7.0 g cm⁻³
DOS at the Fermi energy = 4.91 states/eV/f.u.

=====

Here is a relaxed CaScNiIr crystal from Alexandria via LeMat-Bulk. Energies are from PBE. Values from VASP.

Structure (Quantum ESPRESSO input):
```
&SYSTEM
  ibrav = 0, nat = 4, ntyp = 4
/
ATOMIC_SPECIES
Ca 40.08 Ca.upf
Sc 44.96 Sc.upf
Ni 58.69 Ni.upf
Ir 192.22 Ir.upf
ATOMIC_POSITIONS crystal
Ca 0.000 0.000 0.000
Sc 0.500 0.500 0.500
Ni 0.750 0.750 0.750
Ir 0.250 0.250 0.250
CELL_PARAMETERS angstrom
0.000 3.295 3.295
3.295 0.000 3.295
3.295 3.295 0.000
```

Theoretical density = 7.8 g cm⁻³
Formation energy = -395 meV/atom
DOS at the Fermi energy = 2.18 states/eV/f.u.

=====

Here is a relaxed CaSi3NiIr crystal from Alexandria via LeMat-Bulk. Energies are from PBE. Values from VASP.

Structure (Quantum ESPRESSO input):
```
&SYSTEM
  ibrav = 0, nat = 12, ntyp = 4
/
ATOMIC_SPECIES
Ca 40.08 Ca.upf
Si 28.09 Si.upf
Ni 58.69 Ni.upf
Ir 192.22 Ir.upf
ATOMIC_POSITIONS crystal
Ca 0.194 0.806 0.750
Ca 0.806 0.194 0.250
Si 0.243 0.757 0.250
Si 0.288 0.288 0.000
Si 0.288 0.288 0.500
Si 0.712 0.712 0.000
Si 0.712 0.712 0.500
Si 0.757 0.243 0.750
Ni 0.403 0.597 0.250
Ni 0.597 0.403 0.750
Ir 0.074 0.926 0.250
Ir 0.926 0.074 0.750
CELL_PARAMETERS angstrom
3.022 -6.575 0.000
3.022 6.575 0.000
0.000 0.000 5.702
```

Formation energy from raw total energies = -0.400 eV/atom
Theoretical density = 5.5 g cm⁻³
DOS at the Fermi energy = 2.03 states/eV/f.u.

=====

Here is a relaxed Ca2Ni3Sn4Ir crystal from Alexandria via LeMat-Bulk. Energies are from PBE. Values from VASP.

Structure (Quantum ESPRESSO input):
```
&SYSTEM
  ibrav = 0, nat = 10, ntyp = 4
/
ATOMIC_SPECIES
Ca 40.08 Ca.upf
Ni 58.69 Ni.upf
Sn 118.71 Sn.upf
Ir 192.22 Ir.upf
ATOMIC_POSITIONS crystal
Ca 0.000 0.500 0.249
Ca 0.500 0.000 0.751
Ni 0.000 0.000 0.000
Ni 0.000 0.500 0.632
Ni 0.500 0.000 0.368
Sn 0.000 0.000 0.500
Sn 0.000 0.500 0.864
Sn 0.500 0.000 0.136
Sn 0.500 0.500 0.500
Ir 0.500 0.500 0.000
CELL_PARAMETERS angstrom
4.347 0.000 0.000
0.000 4.347 0.000
0.000 0.000 10.849
```

Theoretical density = 7.5 g cm⁻³
Formation energy = -407 meV/atom
DOS at the Fermi energy = 4.68 states/eV/f.u.

=====

Here is a relaxed CaThNiIr crystal from Alexandria via LeMat-Bulk. Energies are from PBE. Values from VASP.

Structure (Quantum ESPRESSO input):
```
&SYSTEM
  ibrav = 0, nat = 4, ntyp = 4
/
ATOMIC_SPECIES
Ca 40.08 Ca.upf
Th 232.04 Th.upf
Ni 58.69 Ni.upf
Ir 192.22 Ir.upf
ATOMIC_POSITIONS crystal
Ca 0.000 0.000 0.000
Th 0.500 0.500 0.500
Ni 0.750 0.750 0.750
Ir 0.250 0.250 0.250
CELL_PARAMETERS angstrom
0.000 3.478 3.478
3.478 0.000 3.478
3.478 3.478 0.000
```

Theoretical density = 10.3 g cm⁻³
Formation energy = -429 meV/atom
DOS at the Fermi energy = 2.83 states/eV/f.u.

=====

Here is a relaxed CaYNiIr crystal from Alexandria via LeMat-Bulk. Energies are from PBE. Values from VASP.

Structure (Quantum ESPRESSO input):
```
&SYSTEM
  ibrav = 0, nat = 4, ntyp = 4
/
ATOMIC_SPECIES
Ca 40.08 Ca.upf
Y 88.91 Y.upf
Ni 58.69 Ni.upf
Ir 192.22 Ir.upf
ATOMIC_POSITIONS crystal
Ca 0.000 0.000 0.000
Y 0.500 0.500 0.500
Ni 0.250 0.250 0.250
Ir 0.750 0.750 0.750
CELL_PARAMETERS angstrom
0.000 3.411 3.411
3.411 0.000 3.411
3.411 3.411 0.000
```

Theoretical density = 8.0 g cm⁻³
Formation energy = -374 meV/atom
DOS at the Fermi energy = 2.18 states/eV/f.u.

=====

Here is a relaxed CaZn3NiIr crystal from Alexandria via LeMat-Bulk. Energies are from PBE. Values from VASP.

Structure (Quantum ESPRESSO input):
```
&SYSTEM
  ibrav = 0, nat = 12, ntyp = 4
/
ATOMIC_SPECIES
Ca 40.08 Ca.upf
Zn 65.41 Zn.upf
Ni 58.69 Ni.upf
Ir 192.22 Ir.upf
ATOMIC_POSITIONS crystal
Ca 0.206 0.794 0.750
Ca 0.794 0.206 0.250
Zn 0.251 0.251 0.000
Zn 0.251 0.251 0.500
Zn 0.311 0.689 0.250
Zn 0.689 0.311 0.750
Zn 0.749 0.749 0.000
Zn 0.749 0.749 0.500
Ni 0.471 0.529 0.750
Ni 0.529 0.471 0.250
Ir 0.078 0.922 0.250
Ir 0.922 0.078 0.750
CELL_PARAMETERS angstrom
3.976 -5.337 0.000
3.976 5.337 0.000
0.000 0.000 5.413
```

Theoretical density = 7.0 g cm⁻³
Formation energy = -128 meV/atom
DOS at the Fermi energy = 2.37 states/eV/f.u.

=====

Here is a relaxed CaNpIr2 crystal from Alexandria via LeMat-Bulk. Energies are from PBE. Values from VASP.

Structure (Quantum ESPRESSO input):
```
&SYSTEM
  ibrav = 0, nat = 4, ntyp = 3
/
ATOMIC_SPECIES
Ca 40.08 Ca.upf
Np 237.00 Np.upf
Ir 192.22 Ir.upf
ATOMIC_POSITIONS crystal
Ca 0.000 0.000 0.000
Np 0.000 0.000 0.500
Ir 0.500 0.500 0.285
Ir 0.500 0.500 0.715
CELL_PARAMETERS angstrom
3.360 0.000 0.000
0.000 3.360 0.000
0.000 0.000 7.247
```

Theoretical density = 13.4 g cm⁻³
ΔE to the lowest computed polymorph = 0.00 eV/f.u.
Formation energy = -323 meV/atom
DOS at the Fermi energy = 5.10 states/eV/f.u.